[1]
Compound: CaFeNi2Os
Source: Alexandria via LeMat-Bulk
Functional: PBE
Structure: relaxed

DOS(E_F): 4.7 states/eV/cell
crystal system: tetragonal
formation energy from the elements: 1.421 eV/atom
density: 7.6 g cm⁻³
electronic total energy: -26.2 eV/f.u.
M_tot: 5.665 μB per formula unit
space-group type: No. 123

a b c (Å): 4.3182 4.7064 4.3182
angles (deg): 90.00 90.00 90.00
Last column: magnetic moment on the atom in μB.
Sites, in units of the cell vectors:
Ni (0.0000, 0.0000, 0.5000)  0.86
Ni (0.5000, 0.0000, 0.0000)  0.64
Ca (0.0000, 0.5000, 0.0000)  -0.05
Os (0.5000, 0.5000, 0.5000)  1.72
Fe (0.0000, 0.0000, 0.0000)  2.53

***

[2]
Compound: SbPtW2
Source: Alexandria via LeMat-Bulk
Functional: PBE
Structure: relaxed

ΔE_f (raw): 449 meV per atom
DOS(E_F): 2.2 states/eV/cell
crystal system: trigonal
density: 16.4 g cm⁻³
electronic total energy: -34.3 eV/f.u.
M_tot: 0.000 μB per formula unit
space-group type: No. 166

a b c (Å): 9.3043 9.3043 9.3043
angles (deg): 18.27 18.27 18.27
Sites, in units of the cell vectors:
Pt (0.2500, 0.2500, 0.2500)
Sb (0.7500, 0.7500, 0.7500)
W (0.9976, 0.9976, 0.9976)
W (0.5024, 0.5024, 0.5024)

***

[3]
Compound: TbSmPdRh
Source: Alexandria via LeMat-Bulk
Functional: PBE
Structure: relaxed

DOS(E_F): 2.5 states/eV/cell
crystal system: orthorhombic
formation energy from the elements: -0.831 eV/atom
polymorph energy (0 for the lowest one): 0.0 meV/atom
density: 9.6 g cm⁻³
electronic total energy: -25.2 eV/f.u.
M_tot: 0.000 μB per formula unit
space-group type: No. 38

a b c (Å): 3.7611 4.4880 5.6464
angles (deg): 90.00 109.45 90.00
Sites, in units of the cell vectors:
Tb (0.8641, 0.5000, 0.7283)
Sm (0.1415, 0.0000, 0.2830)
Pd (0.5845, 0.5000, 0.1691)
Rh (0.4098, 0.0000, 0.8196)